# 1
PaCo | PBE | optimized geometry

Geometry as POSCAR:
```
PaCo
1.0
2.977 0.000 0.000
0.000 2.977 0.000
0.000 0.000 3.929
Pa Co
1 1
Cartesian
0.000 0.000 0.000
1.489 1.489 1.964
```

Summary:
ΔE_f: 0.063 eV/atom

---

# 2
Cs2ScPdCl6 | PBE | optimized geometry

Geometry as POSCAR:
```
Cs2ScPdCl6
1.0
0.000 5.187 5.187
5.187 0.000 5.187
5.187 5.187 0.000
Cs Sc Pd Cl
2 1 1 6
Cartesian
2.593 2.593 2.593
7.780 7.780 7.780
0.000 0.000 0.000
5.187 5.187 5.187
5.187 5.187 2.513
5.187 2.513 5.187
7.861 5.187 5.187
2.513 5.187 5.187
5.187 7.861 5.187
5.187 5.187 7.861
```

---

# 3
LaTe3PbAu | PBE | optimized geometry

Geometry as POSCAR:
```
LaTe3PbAu
1.0
2.204 -7.493 0.000
2.204 7.493 0.000
0.000 0.000 11.640
La Te Pb Au
2 6 2 2
Cartesian
0.000 0.000 0.000
0.000 0.000 5.820
2.204 6.109 8.730
2.204 2.251 6.570
2.204 2.251 10.890
2.204 -2.251 0.750
2.204 -2.251 5.070
2.204 -6.109 2.910
2.204 4.106 2.910
2.204 -4.106 8.730
2.204 0.446 8.730
2.204 -0.446 2.910
```

Summary:
Energy above the most stable polymorph in this dataset: 0.00 eV/f.u.

---

Raw total energy in eV/atom, matching the order above: -8.2379, -4.0855, -4.3485